Here is a relaxed structure of BaNaPd from Alexandria. Energies are from PBE.

Cell: 3.907 3.907 12.869 Å, 90.00 90.00 90.00°
Element x y z (fractional)
1 Ba 0.000 0.000 0.000
2 Ba 0.500 0.500 0.500
3 Na 0.000 0.000 0.741
4 Na 0.500 0.500 0.241
5 Pd 0.000 0.000 0.366
6 Pd 0.500 0.500 0.866

Output
crystal system	tetragonal
excess energy over the best structure of this formula in the dataset	194	meV per atom
formation energy from the elements	-0.4	eV/f.u.
symmetry	I4mm (107)
calculated density	4.5	g/cm3
calculated total energy	-2.9598	eV/atom

Here is a relaxed structure of LiMnNb4N8 from Alexandria. Energies are from PBE.

Cell: 6.101 6.101 6.101 Å, 60.66 60.66 60.66°
Element x y z (fractional)
1 Li 0.000 0.000 0.000
2 Mn 0.383 0.383 0.383
3 Nb 0.006 0.006 0.494
4 Nb 0.006 0.494 0.006
5 Nb 0.494 0.006 0.006
6 Nb 0.623 0.623 0.623
7 N 0.233 0.758 0.758
8 N 0.257 0.257 0.257
9 N 0.270 0.270 0.743
10 N 0.270 0.743 0.270
11 N 0.743 0.270 0.270
12 N 0.758 0.233 0.758
13 N 0.758 0.758 0.233
14 N 0.759 0.759 0.759

Output
ΔE_f (raw)	-0.57	eV per atom
crystal system	trigonal
symmetry	R3m (160)
calculated density	5.6	g/cm3
calculated total energy	-9.0007	eV/atom

Here is a relaxed structure of NaYCd2 from Alexandria. Energies are from PBE.

Cell: 8.286 8.286 6.541 Å, 90.00 90.00 90.00°
Element x y z (fractional)
1 Na 0.000 0.000 0.000
2 Na 0.000 0.500 0.250
3 Na 0.500 0.000 0.750
4 Na 0.500 0.500 0.500
5 Y 0.000 0.000 0.500
6 Y 0.000 0.500 0.750
7 Y 0.500 0.000 0.250
8 Y 0.500 0.500 0.000
9 Cd 0.238 0.250 0.125
10 Cd 0.250 0.738 0.375
11 Cd 0.250 0.762 0.875
12 Cd 0.262 0.250 0.625
13 Cd 0.738 0.750 0.625
14 Cd 0.750 0.238 0.875
15 Cd 0.750 0.262 0.375
16 Cd 0.762 0.750 0.125

Output
crystal system	tetragonal
excess energy over the best structure of this formula in the dataset	308	meV per atom
formation energy from the elements	0.5	eV/f.u.
symmetry	I-42d (122)
calculated density	5.0	g/cm3
calculated total energy	-2.2879	eV/atom

Here is a relaxed structure of Rb3Np2SbTe6 from Alexandria. Energies are from PBE.

Cell: 7.991 7.991 8.894 Å, 98.61 98.61 119.99°
Element x y z (fractional)
1 Rb 0.000 0.000 0.000
2 Rb 0.334 0.666 0.000
3 Rb 0.666 0.334 0.000
4 Np 0.167 0.833 0.500
5 Np 0.833 0.167 0.500
6 Sb 0.500 0.500 0.500
7 Te 0.102 0.434 0.302
8 Te 0.234 0.234 0.698
9 Te 0.434 0.102 0.302
10 Te 0.566 0.898 0.698
11 Te 0.766 0.766 0.302
12 Te 0.898 0.566 0.698

Output
ΔE_f (raw)	-0.75	eV per atom
crystal system	monoclinic
symmetry	C2/m (12)
calculated density	5.7	g/cm3
calculated total energy	-5.0653	eV/atom

Here is a relaxed structure of Ce3Th2Ge4 from Alexandria. Energies are from PBE.

Cell: 8.024 7.948 7.826 Å, 90.00 112.55 90.00°
Element x y z (fractional)
1 Ce 0.000 0.000 0.000
2 Ce 0.000 0.500 0.500
3 Ce 0.260 0.169 0.786
4 Ce 0.260 0.331 0.286
5 Ce 0.740 0.669 0.714
6 Ce 0.740 0.831 0.214
7 Th 0.298 0.683 0.936
8 Th 0.298 0.817 0.436
9 Th 0.702 0.183 0.564
10 Th 0.702 0.317 0.064
11 Ge 0.005 0.624 0.120
12 Ge 0.005 0.876 0.620
13 Ge 0.418 0.034 0.182
14 Ge 0.418 0.466 0.682
15 Ge 0.582 0.534 0.318
16 Ge 0.582 0.966 0.818
17 Ge 0.995 0.124 0.380
18 Ge 0.995 0.376 0.880

Output
crystal system	monoclinic
formation energy from the elements	-6.4	eV/f.u.
symmetry	P2_1/c (14)
calculated density	8.5	g/cm3
calculated total energy	-6.3848	eV/atom

Here is a relaxed structure of Re2RuPb from Alexandria. Energies are from PBE.

Cell: 9.116 3.005 5.143 Å, 90.00 102.22 90.00°
Element x y z (fractional)
1 Re 0.000 0.000 0.000
2 Re 0.235 0.500 0.141
3 Re 0.500 0.500 0.000
4 Re 0.735 0.000 0.141
5 Ru 0.261 0.000 0.728
6 Ru 0.761 0.500 0.728
7 Pb 0.000 0.500 0.485
8 Pb 0.500 0.000 0.485

Output
crystal system	monoclinic
formation energy from the elements	2.7	eV/f.u.
symmetry	Cm (8)
calculated density	16.4	g/cm3
calculated total energy	-8.7934	eV/atom

Here is a relaxed structure of PuGeRu2 from Alexandria. Energies are from PBE.

Cell: 4.285 4.285 3.613 Å, 90.00 90.00 90.00°
Element x y z (fractional)
1 Pu 0.000 0.000 0.000
2 Ge 0.500 0.500 0.000
3 Ru 0.000 0.500 0.500
4 Ru 0.500 0.000 0.500

Output
crystal system	tetragonal
formation energy from the elements	-0.9	eV/f.u.
symmetry	P4/mmm (123)
calculated density	13.0	g/cm3
calculated total energy	-9.5921	eV/atom

Here is a relaxed structure of HfBe3W from Alexandria. Energies are from PBE.

Cell: 4.253 4.253 4.253 Å, 90.00 90.00 90.00°
Element x y z (fractional)
1 Hf 0.000 0.000 0.000
2 Be 0.000 0.000 0.500
3 Be 0.000 0.500 0.000
4 Be 0.500 0.000 0.000
5 W 0.500 0.500 0.500

Output
crystal system	cubic
excess energy over the best structure of this formula in the dataset	1333	meV per atom
formation energy from the elements	10.7	eV/f.u.
symmetry	Pm-3m (221)
calculated density	8.4	g/cm3
calculated total energy	-4.6741	eV/atom

Here is a relaxed structure of NaTlAs3 from Alexandria. Energies are from PBE.

Cell: 5.426 5.426 5.426 Å, 90.00 90.00 90.00°
Element x y z (fractional)
1 Na 0.000 0.000 0.000
2 Tl 0.500 0.500 0.500
3 As 0.000 0.500 0.500
4 As 0.500 0.000 0.500
5 As 0.500 0.500 0.000

Output
crystal system	cubic
excess energy over the best structure of this formula in the dataset	747	meV per atom
formation energy from the elements	3.7	eV/f.u.
symmetry	Pm-3m (221)
calculated density	4.7	g/cm3
calculated total energy	-2.7774	eV/atom

Here is a relaxed structure of Sr2Hg2Pb from Alexandria. Energies are from PBE.

Cell: 6.618 6.618 12.152 Å, 114.15 114.15 43.40°
Element x y z (fractional)
1 Sr 0.012 0.012 0.339
2 Sr 0.187 0.187 0.105
3 Sr 0.813 0.813 0.895
4 Sr 0.988 0.988 0.661
5 Hg 0.365 0.365 0.443
6 Hg 0.461 0.461 0.107
7 Hg 0.539 0.539 0.893
8 Hg 0.635 0.635 0.557
9 Pb 0.285 0.285 0.670
10 Pb 0.715 0.715 0.330

Output
crystal system	monoclinic
excess energy over the best structure of this formula in the dataset	4	meV per atom
formation energy from the elements	-2.4	eV/f.u.
symmetry	C2/m (12)
calculated density	7.9	g/cm3
calculated total energy	-2.0157	eV/atom

Here is a relaxed structure of Pm2EuTl from Alexandria. Energies are from PBE.

Cell: 3.785 3.785 9.335 Å, 90.00 90.00 90.00°
Element x y z (fractional)
1 Pm 0.000 0.000 0.216
2 Pm 0.000 0.000 0.784
3 Eu 0.500 0.500 0.500
4 Tl 0.500 0.500 0.000

Output
crystal system	tetragonal
excess energy over the best structure of this formula in the dataset	44	meV per atom
formation energy from the elements	-0.5	eV/f.u.
symmetry	P4/mmm (123)
calculated density	8.0	g/cm3
calculated total energy	-5.6603	eV/atom

Here is a relaxed structure of PrY2Th4 from Alexandria. Energies are from PBE.

Cell: 9.339 9.339 5.676 Å, 90.00 90.00 90.00°
Element x y z (fractional)
1 Pr 0.000 0.000 0.000
2 Pr 0.500 0.500 0.500
3 Y 0.183 0.183 0.500
4 Y 0.317 0.683 0.000
5 Y 0.683 0.317 0.000
6 Y 0.817 0.817 0.500
7 Th 0.113 0.375 0.000
8 Th 0.125 0.613 0.500
9 Th 0.375 0.113 0.000
10 Th 0.387 0.875 0.500
11 Th 0.613 0.125 0.500
12 Th 0.625 0.887 0.000
13 Th 0.875 0.387 0.500
14 Th 0.887 0.625 0.000

Output
crystal system	tetragonal
formation energy from the elements	2.1	eV/f.u.
symmetry	P4_2/mnm (136)
calculated density	8.4	g/cm3
calculated total energy	-6.4726	eV/atom